Record 1
# Ce5Bi4Te

An optimized crystal structure of Ce5Bi4Te (PBE-GGA, Alexandria).

```
data_Ce5Bi4Te
_chemical_formula_sum 'Ce10 Bi8 Te2'
_cell_length_a 4.604
_cell_length_b 6.480
_cell_length_c 22.833
_cell_angle_alpha 90.00
_cell_angle_beta 90.00
_cell_angle_gamma 90.00
_symmetry_space_group_name_H-M 'I m m m'
_symmetry_Int_Tables_number 71
_symmetry_space_group_name_Hall '-I 2 2'
loop_
_atom_site_label
_atom_site_type_symbol
_atom_site_fract_x
_atom_site_fract_y
_atom_site_fract_z
Ce1 Ce 0.000 0.000 0.000
Ce2 Ce 0.000 0.000 0.200
Ce3 Ce 0.000 0.000 0.401
Bi1 Bi 0.000 0.500 0.199
Bi2 Bi 0.000 0.500 0.400
Te1 Te 0.000 0.500 0.000
```

Computed properties:
Formation energy from raw total energies ... -9.09 eV per formula unit
ΔE to the lowest computed polymorph ... 2 meV per atom
Electronic total energy ... -57.4 eV per formula unit

Record 2
# Ce8Bi5Te

An optimized crystal structure of Ce8Bi5Te (PBE-GGA, Alexandria).

```
data_Ce8Bi5Te
_chemical_formula_sum 'Ce16 Bi10 Te2'
_cell_length_a 9.647
_cell_length_b 9.647
_cell_length_c 9.629
_cell_angle_alpha 90.00
_cell_angle_beta 90.00
_cell_angle_gamma 90.00
_symmetry_space_group_name_H-M 'I -4'
_symmetry_Int_Tables_number 82
_symmetry_space_group_name_Hall 'I -4'
loop_
_atom_site_label
_atom_site_type_symbol
_atom_site_fract_x
_atom_site_fract_y
_atom_site_fract_z
Ce1 Ce 0.074 0.173 0.298
Ce2 Ce 0.076 0.321 0.952
Bi1 Bi 0.000 0.500 0.250
Bi2 Bi 0.123 0.252 0.624
Te1 Te 0.000 0.000 0.000
```

Computed properties:
Formation energy from raw total energies ... -10.52 eV per formula unit
Electronic total energy ... -80.5 eV per formula unit

Record 3
# Ce3BiTe3

An optimized crystal structure of Ce3BiTe3 (PBE-GGA, Alexandria).

```
data_Ce3BiTe3
_chemical_formula_sum 'Ce3 Bi1 Te3'
_cell_length_a 6.361
_cell_length_b 6.361
_cell_length_c 6.361
_cell_angle_alpha 90.00
_cell_angle_beta 90.00
_cell_angle_gamma 90.00
_symmetry_space_group_name_H-M 'P m -3 m'
_symmetry_Int_Tables_number 221
_symmetry_space_group_name_Hall '-P 4 2 3'
loop_
_atom_site_label
_atom_site_type_symbol
_atom_site_fract_x
_atom_site_fract_y
_atom_site_fract_z
Ce1 Ce 0.000 0.000 0.500
Bi1 Bi 0.000 0.000 0.000
Te1 Te 0.000 0.500 0.500
```

Computed properties:
Formation energy from raw total energies ... -7.75 eV per formula unit
ΔE to the lowest computed polymorph ... 41 meV per atom
Electronic total energy ... -38.9 eV per formula unit

Record 4
# Ce2BiTe

An optimized crystal structure of Ce2BiTe (PBE-GGA, Alexandria).

```
data_Ce2BiTe
_chemical_formula_sum 'Ce2 Bi1 Te1'
_cell_length_a 3.889
_cell_length_b 3.889
_cell_length_c 7.865
_cell_angle_alpha 90.00
_cell_angle_beta 90.00
_cell_angle_gamma 90.00
_symmetry_space_group_name_H-M 'P 4/m m m'
_symmetry_Int_Tables_number 123
_symmetry_space_group_name_Hall '-P 4 2'
loop_
_atom_site_label
_atom_site_type_symbol
_atom_site_fract_x
_atom_site_fract_y
_atom_site_fract_z
Ce1 Ce 0.000 0.000 0.248
Bi1 Bi 0.500 0.500 0.500
Te1 Te 0.500 0.500 0.000
```

Computed properties:
Formation energy from raw total energies ... -3.76 eV per formula unit
ΔE to the lowest computed polymorph ... 144 meV per atom
Electronic total energy ... -22.7 eV per formula unit

Record 5
# Ce6Bi3Te

An optimized crystal structure of Ce6Bi3Te (PBE-GGA, Alexandria).

```
data_Ce6Bi3Te
_chemical_formula_sum 'Ce12 Bi6 Te2'
_cell_length_a 7.581
_cell_length_b 8.859
_cell_length_c 12.697
_cell_angle_alpha 90.00
_cell_angle_beta 126.20
_cell_angle_gamma 90.00
_symmetry_space_group_name_H-M 'P 1 21/c 1'
_symmetry_Int_Tables_number 14
_symmetry_space_group_name_Hall '-P 2ybc'
loop_
_atom_site_label
_atom_site_type_symbol
_atom_site_fract_x
_atom_site_fract_y
_atom_site_fract_z
Ce1 Ce 0.038 0.083 0.254
Ce2 Ce 0.207 0.671 0.060
Ce3 Ce 0.421 0.175 0.063
Bi1 Bi 0.000 0.000 0.000
Bi2 Bi 0.316 0.130 0.751
Te1 Te 0.500 0.000 0.500
```

Computed properties:
Formation energy from raw total energies ... -5.53 eV per formula unit
Electronic total energy ... -55.9 eV per formula unit

Record 6
# Ce5Bi4Te

An optimized crystal structure of Ce5Bi4Te (PBE-GGA, Alexandria).

```
data_Ce5Bi4Te
_chemical_formula_sum 'Ce10 Bi8 Te2'
_cell_length_a 10.253
_cell_length_b 10.253
_cell_length_c 6.480
_cell_angle_alpha 90.00
_cell_angle_beta 90.00
_cell_angle_gamma 90.00
_symmetry_space_group_name_H-M 'I 4/m'
_symmetry_Int_Tables_number 87
_symmetry_space_group_name_Hall '-I 4'
loop_
_atom_site_label
_atom_site_type_symbol
_atom_site_fract_x
_atom_site_fract_y
_atom_site_fract_z
Ce1 Ce 0.000 0.000 0.000
Ce2 Ce 0.100 0.702 0.500
Bi1 Bi 0.099 0.700 0.000
Te1 Te 0.000 0.000 0.500
```

Computed properties:
Formation energy from raw total energies ... -9.12 eV per formula unit
ΔE to the lowest computed polymorph ... 0 meV per atom
Electronic total energy ... -57.4 eV per formula unit

Record 7
# Ce5BiTe4

An optimized crystal structure of Ce5BiTe4 (PBE-GGA, Alexandria).

```
data_Ce5BiTe4
_chemical_formula_sum 'Ce10 Bi2 Te8'
_cell_length_a 10.093
_cell_length_b 10.093
_cell_length_c 6.390
_cell_angle_alpha 90.00
_cell_angle_beta 90.00
_cell_angle_gamma 90.00
_symmetry_space_group_name_H-M 'I 4/m'
_symmetry_Int_Tables_number 87
_symmetry_space_group_name_Hall '-I 4'
loop_
_atom_site_label
_atom_site_type_symbol
_atom_site_fract_x
_atom_site_fract_y
_atom_site_fract_z
Ce1 Ce 0.000 0.000 0.000
Ce2 Ce 0.100 0.697 0.500
Bi1 Bi 0.000 0.000 0.500
Te1 Te 0.101 0.701 0.000
```

Computed properties:
Formation energy from raw total energies ... -12.52 eV per formula unit
ΔE to the lowest computed polymorph ... 0 meV per atom
Electronic total energy ... -58.6 eV per formula unit

Record 8
# CeBiTe2

An optimized crystal structure of CeBiTe2 (PBE-GGA, Alexandria).

```
data_CeBiTe2
_chemical_formula_sum 'Ce1 Bi1 Te2'
_cell_length_a 5.416
_cell_length_b 5.416
_cell_length_c 4.060
_cell_angle_alpha 90.00
_cell_angle_beta 90.00
_cell_angle_gamma 90.00
_symmetry_space_group_name_H-M 'P 4/m m m'
_symmetry_Int_Tables_number 123
_symmetry_space_group_name_Hall '-P 4 2'
loop_
_atom_site_label
_atom_site_type_symbol
_atom_site_fract_x
_atom_site_fract_y
_atom_site_fract_z
Ce1 Ce 0.000 0.000 0.000
Bi1 Bi 0.500 0.500 0.000
Te1 Te 0.000 0.500 0.500
```

Computed properties:
Formation energy from raw total energies ... -2.77 eV per formula unit
ΔE to the lowest computed polymorph ... 0 meV per atom
Electronic total energy ... -18.9 eV per formula unit

Question: Which formula does entry 6 have?
Answer: Ce5Bi4Te